This record from Alexandria describes crystalline TmSi2Sn2Pt7 at its relaxed geometry. The functional is PBE-GGA.

It has space group C2/m (No. 12), with a = 5.568 Å, b = 5.571 Å, c = 15.391 Å, α = 90.00°, β = 100.26° and γ = 90.00°. The distinct sites, in fractional coordinates, are Tm at (0.000, 0.000, 0.000), Si at (0.116, 0.500, 0.236), Sn at (0.211, 0.000, 0.422), Pt at (0.000, 0.500, 0.000), Pt at (0.179, 0.250, 0.854) and Pt at (0.196, 0.500, 0.391).

The uncorrected formation energy is -717 meV/atom.